Run a
Na3BIr after structural relaxation, computed with GGA-PBE.

Results
Crystal system: cubic
M_tot, μB/cell: 0.00
Symmetry: Pm-3m, No. 221

a b c (Å): 5.3848 5.3848 5.3848
angles (deg): 90.00 90.00 90.00
Fractional positions:
Na1 0.0000 0.5000 0.0000
Na2 0.5000 0.0000 0.0000
Na3 0.0000 0.0000 0.5000
Ir1 0.0000 0.0000 0.0000
B1 0.5000 0.5000 0.5000

Run b
Na3BIr after structural relaxation, computed with GGA-PBE.

Results
Crystal system: cubic
M_tot, μB/cell: 1.09
Symmetry: Pm-3m, No. 221

a b c (Å): 4.8463 4.8463 4.8463
angles (deg): 90.00 90.00 90.00
Fractional positions:
Na1 0.5000 0.0000 0.0000
Na2 0.0000 0.0000 0.5000
Na3 0.0000 0.5000 0.0000
Ir1 0.5000 0.5000 0.5000
B1 0.0000 0.0000 0.0000

Result of the stability comparison: run b is the most stable of them.